[1]
First-principles (PBE) data for a geometry-optimized Cs4AgAs2Au structure, as listed in OQMD via LeMat-Bulk.

abc: 7.9996 11.2025 6.7709
angles: 90.00 90.06 90.00
Last column: nearest neighbours and their distance in Å.
Element x y z (fractional)
Cs (0.1530, 0.1704, 0.2477)  4 As 3.76-4.01, 1 Au 3.76, 1 Ag 3.78, 5 Cs 3.82-4.21
Cs (0.1530, 0.8296, 0.2477)  4 As 3.76-4.01, 1 Au 3.76, 1 Ag 3.78, 5 Cs 3.82-4.21
Cs (0.3470, 0.3296, 0.7523)  4 As 3.76-4.01, 1 Au 3.76, 1 Ag 3.78, 5 Cs 3.82-4.21
Cs (0.3470, 0.6704, 0.7523)  4 As 3.76-4.01, 1 Au 3.76, 1 Ag 3.78, 5 Cs 3.82-4.21
Cs (0.6530, 0.3296, 0.2477)  4 As 3.76-4.01, 1 Au 3.76, 1 Ag 3.78, 5 Cs 3.82-4.21
Cs (0.6530, 0.6704, 0.2477)  4 As 3.76-4.01, 1 Au 3.76, 1 Ag 3.78, 5 Cs 3.82-4.21
Cs (0.8470, 0.1704, 0.7523)  4 As 3.76-4.01, 1 Au 3.76, 1 Ag 3.78, 5 Cs 3.82-4.21
Cs (0.8470, 0.8296, 0.7523)  4 As 3.76-4.01, 1 Au 3.76, 1 Ag 3.78, 5 Cs 3.82-4.21
Ag (0.0000, 0.5000, 0.5000)  2 As 2.56
Ag (0.5000, 0.0000, 0.5000)  2 As 2.56
As (0.2385, 0.5000, 0.2474)  1 Au 2.54, 1 Ag 2.56
As (0.2615, 0.0000, 0.7526)  1 Au 2.54, 1 Ag 2.56
As (0.7385, 0.0000, 0.2474)  1 Au 2.54, 1 Ag 2.56
As (0.7615, 0.5000, 0.7526)  1 Au 2.54, 1 Ag 2.56
Au (0.0000, 0.5000, 0.0000)  2 As 2.54
Au (0.5000, 0.0000, 0.0000)  2 As 2.54

Summary:
VASP energy = -2.78 eV/atom
SG = C2/m

***

[2]
First-principles (PBE) data for a geometry-optimized Gd2AgAs4Au structure, as listed in OQMD via LeMat-Bulk.

abc: 4.0405 4.0405 10.2272
angles: 90.00 90.00 90.00
Last column: nearest neighbours and their distance in Å.
Element x y z (fractional)
Gd (0.0000, 0.5000, 0.2291)  8 As 2.98-3.09
Gd (0.5000, 0.0000, 0.7709)  8 As 2.98-3.09
Ag (0.5000, 0.5000, 0.5000)  4 As 2.79, 4 Au 2.86
As (0.0000, 0.0000, 0.0000)  4 As 2.86, 4 Gd 3.09
As (0.0000, 0.5000, 0.6886)  2 Au 2.79, 2 Ag 2.79, 4 Gd 2.98
As (0.5000, 0.0000, 0.3114)  2 Au 2.79, 2 Ag 2.79, 4 Gd 2.98
As (0.5000, 0.5000, 0.0000)  4 As 2.86, 4 Gd 3.09
Au (0.0000, 0.0000, 0.5000)  4 As 2.79, 4 Ag 2.86

Summary:
VASP energy = -5.02 eV/atom
SG = P-4m2
Total magnetic moment = 0.00 μB per cell

***

[3]
First-principles (PBE) data for a geometry-optimized LiAgAsAu structure, as listed in OQMD via LeMat-Bulk.

abc: 6.5285 6.5285 6.5285
angles: 90.00 90.00 90.00
Last column: nearest neighbours and their distance in Å.
Element x y z (fractional)
Li (0.0000, 0.0000, 0.0000)  4 As 2.83, 4 Ag 2.83
Li (0.0000, 0.5000, 0.5000)  4 As 2.83, 4 Ag 2.83
Li (0.5000, 0.0000, 0.5000)  4 As 2.83, 4 Ag 2.83
Li (0.5000, 0.5000, 0.0000)  4 As 2.83, 4 Ag 2.83
Ag (0.2500, 0.2500, 0.7500)  4 Li 2.83, 4 Au 2.83
Ag (0.2500, 0.7500, 0.2500)  4 Li 2.83, 4 Au 2.83
Ag (0.7500, 0.2500, 0.2500)  4 Li 2.83, 4 Au 2.83
Ag (0.7500, 0.7500, 0.7500)  4 Au 2.83, 4 Li 2.83
As (0.2500, 0.2500, 0.2500)  4 Li 2.83, 4 Au 2.83
As (0.2500, 0.7500, 0.7500)  4 Li 2.83, 4 Au 2.83
As (0.7500, 0.2500, 0.7500)  4 Li 2.83, 4 Au 2.83
As (0.7500, 0.7500, 0.2500)  4 Li 2.83, 4 Au 2.83
Au (0.0000, 0.0000, 0.5000)  4 Ag 2.83, 4 As 2.83
Au (0.0000, 0.5000, 0.0000)  4 Ag 2.83, 4 As 2.83
Au (0.5000, 0.0000, 0.0000)  4 Ag 2.83, 4 As 2.83
Au (0.5000, 0.5000, 0.5000)  4 Ag 2.83, 4 As 2.83

Summary:
Distance to the lowest polymorph of the same formula = 38 meV/atom
VASP energy = -3.35 eV/atom
SG = F-43m

***

[4]
First-principles (PBE) data for a geometry-optimized LiAgAsAu structure, as listed in OQMD via LeMat-Bulk.

abc: 6.4893 6.4893 6.4893
angles: 90.00 90.00 90.00
Last column: nearest neighbours and their distance in Å.
Element x y z (fractional)
Li (0.0000, 0.0000, 0.0000)  4 Ag 2.81, 4 Au 2.81
Li (0.0000, 0.5000, 0.5000)  4 Ag 2.81, 4 Au 2.81
Li (0.5000, 0.0000, 0.5000)  4 Ag 2.81, 4 Au 2.81
Li (0.5000, 0.5000, 0.0000)  4 Ag 2.81, 4 Au 2.81
Ag (0.2500, 0.2500, 0.2500)  4 As 2.81, 4 Li 2.81
Ag (0.2500, 0.7500, 0.7500)  4 As 2.81, 4 Li 2.81
Ag (0.7500, 0.2500, 0.7500)  4 As 2.81, 4 Li 2.81
Ag (0.7500, 0.7500, 0.2500)  4 As 2.81, 4 Li 2.81
As (0.0000, 0.0000, 0.5000)  4 Ag 2.81, 4 Au 2.81
As (0.0000, 0.5000, 0.0000)  4 Ag 2.81, 4 Au 2.81
As (0.5000, 0.0000, 0.0000)  4 Ag 2.81, 4 Au 2.81
As (0.5000, 0.5000, 0.5000)  4 Au 2.81, 4 Ag 2.81
Au (0.2500, 0.2500, 0.7500)  4 As 2.81, 4 Li 2.81
Au (0.2500, 0.7500, 0.2500)  4 As 2.81, 4 Li 2.81
Au (0.7500, 0.2500, 0.2500)  4 As 2.81, 4 Li 2.81
Au (0.7500, 0.7500, 0.7500)  4 As 2.81, 4 Li 2.81

Summary:
Distance to the lowest polymorph of the same formula = 0 meV/atom
VASP energy = -3.38 eV/atom
SG = F-43m

***

[5]
First-principles (PBE) data for a geometry-optimized Li4AgAs2Au structure, as listed in OQMD via LeMat-Bulk.

abc: 4.4488 4.4488 6.2665
angles: 90.00 90.00 90.00
Last column: nearest neighbours and their distance in Å.
Element x y z (fractional)
Li (0.0000, 0.0000, 0.0000)  4 Li 2.70, 4 As 2.73
Li (0.0000, 0.5000, 0.2439)  2 Au 2.70, 4 Li 2.70-2.74, 2 Ag 2.74
Li (0.5000, 0.0000, 0.7561)  2 Au 2.70, 4 Li 2.70-2.74, 2 Ag 2.74
Li (0.5000, 0.5000, 0.5000)  4 As 2.72, 4 Li 2.74
Ag (0.0000, 0.0000, 0.5000)  4 As 2.72, 4 Li 2.74
As (0.0000, 0.5000, 0.7484)  4 Li 2.72-2.73, 2 Ag 2.72, 2 Au 2.73
As (0.5000, 0.0000, 0.2516)  4 Li 2.72-2.73, 2 Ag 2.72, 2 Au 2.73
Au (0.5000, 0.5000, 0.0000)  4 Li 2.70, 4 As 2.73

Summary:
VASP energy = -3.38 eV/atom
SG = P-4m2

***

[6]
First-principles (PBE) data for a geometry-optimized Mg2AgAs2Au structure, as listed in OQMD via LeMat-Bulk.

abc: 7.6885 4.4460 14.7260
angles: 90.00 100.11 90.00
Last column: nearest neighbours and their distance in Å.
Element x y z (fractional)
Mg (0.0000, 0.0000, 0.0000)  2 Au 2.70, 2 Ag 2.73-2.74
Mg (0.0039, 0.5000, 0.5003)  3 Au 2.71-2.72, 1 Ag 2.73
Mg (0.2534, 0.0000, 0.7514)  4 Ag 2.72-2.73
Mg (0.2573, 0.5000, 0.2523)  2 Au 2.70, 2 Ag 2.74
Mg (0.5031, 0.0000, 0.5004)  3 Au 2.71-2.72, 1 Ag 2.73
Mg (0.5075, 0.5000, 0.0029)  2 Au 2.70, 2 Ag 2.74
Mg (0.7507, 0.0000, 0.2515)  3 Au 2.71, 1 Ag 2.74
Mg (0.7548, 0.5000, 0.7532)  1 Au 2.70, 3 Ag 2.73
Ag (0.0662, 0.0000, 0.1891)  4 As 2.70-2.71, 4 Mg 2.74
Ag (0.0661, 0.5000, 0.6888)  4 As 2.72, 4 Mg 2.72-2.73
Ag (0.3165, 0.0000, 0.9394)  4 As 2.71, 4 Mg 2.72-2.74
Ag (0.5667, 0.0000, 0.6889)  4 As 2.71, 4 Mg 2.73
As (0.1281, 0.0000, 0.3754)  1 Ag 2.70, 3 Au 2.72-2.73
As (0.1321, 0.5000, 0.8767)  3 Ag 2.71-2.72, 1 Au 2.74
As (0.3763, 0.0000, 0.1260)  2 Ag 2.71, 2 Au 2.73
As (0.3799, 0.5000, 0.6278)  3 Ag 2.71-2.72, 1 Au 2.74
As (0.6264, 0.0000, 0.8760)  2 Ag 2.71, 2 Au 2.73
As (0.6294, 0.5000, 0.3767)  4 Au 2.72
As (0.8789, 0.0000, 0.6275)  3 Ag 2.71-2.72, 1 Au 2.74
As (0.8821, 0.5000, 0.1280)  2 Ag 2.70, 2 Au 2.73-2.74
Au (0.3166, 0.5000, 0.4389)  4 Mg 2.70-2.71, 4 As 2.72-2.74
Au (0.5668, 0.5000, 0.1893)  4 Mg 2.70-2.71, 4 As 2.72-2.73
Au (0.8161, 0.0000, 0.4387)  4 Mg 2.71-2.72, 4 As 2.72-2.74
Au (0.8163, 0.5000, 0.9393)  4 Mg 2.70, 4 As 2.73-2.74

Summary:
VASP energy = -3.39 eV/atom
SG = Pm

***

[7]
First-principles (PBE) data for a geometry-optimized NaAgAsAu structure, as listed in OQMD via LeMat-Bulk.

abc: 6.7166 6.7166 6.7166
angles: 90.00 90.00 90.00
Last column: nearest neighbours and their distance in Å.
Element x y z (fractional)
Na (0.0000, 0.0000, 0.0000)  4 Ag 2.91, 4 Au 2.91
Na (0.0000, 0.5000, 0.5000)  4 Ag 2.91, 4 Au 2.91
Na (0.5000, 0.0000, 0.5000)  4 Ag 2.91, 4 Au 2.91
Na (0.5000, 0.5000, 0.0000)  4 Ag 2.91, 4 Au 2.91
Ag (0.2500, 0.2500, 0.2500)  4 As 2.91, 4 Na 2.91
Ag (0.2500, 0.7500, 0.7500)  4 As 2.91, 4 Na 2.91
Ag (0.7500, 0.2500, 0.7500)  4 As 2.91, 4 Na 2.91
Ag (0.7500, 0.7500, 0.2500)  4 As 2.91, 4 Na 2.91
As (0.0000, 0.0000, 0.5000)  4 Ag 2.91, 4 Au 2.91
As (0.0000, 0.5000, 0.0000)  4 Ag 2.91, 4 Au 2.91
As (0.5000, 0.0000, 0.0000)  4 Ag 2.91, 4 Au 2.91
As (0.5000, 0.5000, 0.5000)  4 Ag 2.91, 4 Au 2.91
Au (0.2500, 0.2500, 0.7500)  4 As 2.91, 4 Na 2.91
Au (0.2500, 0.7500, 0.2500)  4 As 2.91, 4 Na 2.91
Au (0.7500, 0.2500, 0.2500)  4 As 2.91, 4 Na 2.91
Au (0.7500, 0.7500, 0.7500)  4 As 2.91, 4 Na 2.91

Summary:
Distance to the lowest polymorph of the same formula = 0 meV/atom
VASP energy = -3.09 eV/atom
SG = F-43m

***

[8]
First-principles (PBE) data for a geometry-optimized NaAgAsAu structure, as listed in OQMD via LeMat-Bulk.

abc: 6.7306 6.7306 6.7306
angles: 90.00 90.00 90.00
Last column: nearest neighbours and their distance in Å.
Element x y z (fractional)
Na (0.0000, 0.0000, 0.0000)  4 Au 2.91, 4 As 2.91
Na (0.0000, 0.5000, 0.5000)  4 Au 2.91, 4 As 2.91
Na (0.5000, 0.0000, 0.5000)  4 Au 2.91, 4 As 2.91
Na (0.5000, 0.5000, 0.0000)  4 Au 2.91, 4 As 2.91
Ag (0.0000, 0.0000, 0.5000)  4 As 2.91, 4 Au 2.91
Ag (0.0000, 0.5000, 0.0000)  4 As 2.91, 4 Au 2.91
Ag (0.5000, 0.0000, 0.0000)  4 As 2.91, 4 Au 2.91
Ag (0.5000, 0.5000, 0.5000)  4 As 2.91, 4 Au 2.91
As (0.2500, 0.2500, 0.2500)  4 Na 2.91, 4 Ag 2.91
As (0.2500, 0.7500, 0.7500)  4 Na 2.91, 4 Ag 2.91
As (0.7500, 0.2500, 0.7500)  4 Na 2.91, 4 Ag 2.91
As (0.7500, 0.7500, 0.2500)  4 Na 2.91, 4 Ag 2.91
Au (0.2500, 0.2500, 0.7500)  4 Ag 2.91, 4 Na 2.91
Au (0.2500, 0.7500, 0.2500)  4 Ag 2.91, 4 Na 2.91
Au (0.7500, 0.2500, 0.2500)  4 Ag 2.91, 4 Na 2.91
Au (0.7500, 0.7500, 0.7500)  4 Ag 2.91, 4 Na 2.91

Summary:
Distance to the lowest polymorph of the same formula = 59 meV/atom
VASP energy = -3.03 eV/atom
SG = F-43m